Entry 1:
Na2CuO2 GGA-PBE relaxed; SG = I4/mmm, No. 139; V = 14.41 Å³ per atom; ΔE_f (raw) = -1.067 eV/atom; ρ = 3.26 Mg/m³; relative energy among the computed polymorphs = 0 meV/atom; density of states at the Fermi level = 0.4960 states/eV/atom; DFT total energy = -4.40 eV per atom
1.0
-0.754 2.125 -2.557
-1.838 -2.451 -1.495
-3.742 2.069 5.097
Na Cu O
2 1 2
Direct
0.334 0.334 0.668
0.666 0.666 0.332
0.000 0.000 0.000
0.141 0.141 0.283
0.859 0.859 0.717

=====

Entry 2:
CaLuInAg GGA-PBE relaxed; SG = F-43m, No. 216; V = 25.28 Å³ per atom; energy of formation from the pure elements = -0.36 eV per atom; ρ = 7.19 Mg/m³; density of states at the Fermi level = 0.8516 states/eV/atom; DFT total energy = -3.39 eV per atom
1.0
-1.420 1.783 4.707
-2.497 -3.150 3.345
2.443 -1.718 4.293
Lu Ag Ca In
1 1 1 1
Direct
0.500 0.500 0.500
0.250 0.250 0.250
0.000 0.000 0.000
0.750 0.750 0.750

=====

Entry 3:
YTcBr4 GGA-PBE relaxed; SG = F-43m, No. 216; V = 28.08 Å³ per atom; ΔE_f (raw) = 0.714 eV/atom; ρ = 4.99 Mg/m³; density of states at the Fermi level = 1.7239 states/eV/atom; DFT total energy = -3.21 eV per atom
1.0
0.000 4.384 4.384
4.384 0.000 4.384
4.384 4.384 0.000
Br Y Tc
4 1 1
Direct
0.375 0.875 0.375
0.375 0.375 0.875
0.375 0.375 0.375
0.875 0.375 0.375
0.000 0.000 0.000
0.750 0.750 0.750

=====

Entry 4:
YZn3Au GGA-PBE relaxed; SG = P2_1/m, No. 11; V = 18.50 Å³ per atom; energy of formation from the pure elements = -0.43 eV per atom; ρ = 8.65 Mg/m³; relative energy among the computed polymorphs = 1 meV/atom; density of states at the Fermi level = 0.3714 states/eV/atom; DFT total energy = -3.14 eV per atom
1.0
6.151 0.000 0.023
0.000 5.358 0.000
0.098 0.000 5.615
Zn Au Y
6 2 2
Direct
0.886 0.250 0.438
0.839 0.005 0.848
0.161 0.995 0.152
0.114 0.750 0.562
0.839 0.495 0.848
0.161 0.505 0.152
0.457 0.750 0.849
0.543 0.250 0.151
0.335 0.250 0.655
0.665 0.750 0.345